Record 1
## BeCu3N (GGA-PBE)

Data for crystalline BeCu3N at its relaxed geometry.

Cell lengths 3.8537, 3.8537, 3.8537 Å; angles 90.00, 90.00, 90.00 degrees
Space group Pm-3m (No. 221)
Unique sites:
Be 0.0000 0.0000 0.0000
Cu 0.0000 0.5000 0.5000
N 0.5000 0.5000 0.5000

Summary:
Energy relative to the lowest polymorph listed for this composition   0.000 eV per atom
V   57 Å³ per cell

---

Record 2
## Be2CuN (GGA-PBE)

Data for crystalline Be2CuN at its relaxed geometry.

Cell lengths 4.5686, 2.6559, 5.9531 Å; angles 90.00, 106.37, 90.00 degrees
Space group C2/m (No. 12)
Unique sites:
Be 0.2175 0.0000 0.1395
Cu 0.0000 0.0000 0.5000
N 0.0000 0.5000 0.0000

Summary:
V   69 Å³ per cell

---

Record 3
## BeCuN (GGA-PBE)

Data for crystalline BeCuN at its relaxed geometry.

Cell lengths 3.8774, 3.8813, 5.0659 Å; angles 69.02, 72.51, 62.41 degrees
Space group P1 (No. 1)
Unique sites:
Be 0.0000 0.0000 0.0000
Be 0.1069 0.2089 0.5266
Cu 0.3445 0.3671 0.9375
Cu 0.6946 0.8029 0.7297
N 0.1031 0.6418 0.3138
N 0.1093 0.9807 0.3096

Summary:
V   62 Å³ per cell

---

Record 4
## Be2CuN (GGA-PBE)

Data for crystalline Be2CuN at its relaxed geometry.

Cell lengths 2.6852, 4.6106, 6.1427 Å; angles 76.61, 89.93, 89.97 degrees
Space group P1 (No. 1)
Unique sites:
Be 0.0000 0.0000 0.0000
Be 0.0003 0.4171 0.5094
Be 0.0010 0.9620 0.7123
Be 0.5000 0.4795 0.8300
Cu 0.4995 0.5939 0.2173
Cu 0.5056 0.0403 0.3661
N 0.0003 0.3128 0.7802
N 0.5003 0.8123 0.8881

Summary:
V   74 Å³ per cell

---

Record 5
## Be2CuN (GGA-PBE)

Data for crystalline Be2CuN at its relaxed geometry.

Cell lengths 2.6645, 2.6645, 5.4376 Å; angles 90.00, 90.00, 120.00 degrees
Space group P-3m1 (No. 164)
Unique sites:
Be 0.3333 0.6667 0.1455
Cu 0.0000 0.0000 0.5000
N 0.0000 0.0000 0.0000

Summary:
V   33 Å³ per cell

---

Record 6
## BeCuN (GGA-PBE)

Data for crystalline BeCuN at its relaxed geometry.

Cell lengths 3.0766, 3.6772, 5.8964 Å; angles 90.00, 90.00, 90.00 degrees
Space group Amm2 (No. 38)
Unique sites:
Be 0.0000 0.0000 0.0000
Cu 0.5000 0.0000 0.6365
N 0.5000 0.0000 0.0083

Summary:
V   67 Å³ per cell

---

Q: Which size of the total moment values were calculated for the entries above? A: 0.000, 0.000, 0.000, 0.000, 0.000, 0.000, in μB/f.u..
Q: Which formation energy without anion corrections values were calculated for the entries above? A: 516, -424, 253, -333, -510, -101, in meV per atom.
Q: Which final energy values were calculated for the entries above? A: -21.759, -43.141, -30.777, -42.409, -21.915, -32.899, in eV for the cell shown.